Computed, not measured: a geometry-optimized PuMg2Al10 structure at the PBE level of DFT.

Calculated values
- formation enthalpy at 0 K (kJ/mol of atoms) = -1.7
- M_tot (μB per formula unit) = 5.5
- crystal system = orthorhombic
- final energy (eV per atom) = -4.24
- space-group type = Fmmm, No. 69

Lattice parameters (Å, degrees): 5.549 7.022 7.287 81.35 67.62 66.73
Last column: magnetic moment on the atom in μB.
Sites, in units of the cell vectors:
Al 0.500 0.500 0.000  0.01
Al 0.505 0.783 0.206  0.01
Al 0.000 0.500 0.000  0.01
Al 0.495 0.217 0.794  0.01
Al 0.010 0.635 0.345  0.01
Al 0.289 0.217 0.206  0.01
Al 0.645 0.365 0.345  0.01
Al 0.355 0.635 0.655  0.01
Al 0.990 0.365 0.655  0.01
Al 0.711 0.783 0.794  0.01
Mg 0.000 0.000 0.500  0.00
Mg 0.500 0.000 0.500  0.00
Pu 0.000 0.000 0.000  -5.36